(1)
16
Lattice="-1.8756 7.2668 -2.8328 -1.4551 -3.2325 -7.3287 -3.8166 -2.9061 6.4301" Properties=species:S:1:pos:R:3 comment="Sc8Ge3Te4As | the Alexandria database | PBE | optimized geometry" formation_energy_uncorrected_ev_per_atom=-1.110 pbc="T T T"
Sc -5.2213 -3.4098 0.3454
Sc -3.3269 -1.9675 -2.8444
Sc -2.8843 -0.5294 0.5517
Sc -6.1519 0.1957 -1.0601
Sc -0.9954 0.9325 -2.6714
Sc -4.2630 1.6577 -4.2831
Sc -3.8205 3.0957 -0.8871
Sc -1.9260 4.5380 -4.0769
Ge -1.6654 2.0172 -5.0808
Ge -3.5737 0.5641 -1.8657
Ge -2.6359 -3.0693 -0.4493
Te -0.9378 3.6334 -1.4164
Te -2.8461 2.1804 1.7986
Te 0.0000 0.0000 0.0000
Te -1.9083 -1.4530 3.2150
As -0.7276 -1.6162 -3.6644

=====

(2)
15
Lattice="-0.9531 -5.8446 5.2897 6.7357 4.2036 -0.1014 -6.8071 3.4708 2.6084" Properties=species:S:1:pos:R:3 comment="Sc8Ge3Te3As | the Alexandria database | PBE | optimized geometry" formation_energy_uncorrected_ev_per_atom=-0.953 pbc="T T T"
Sc 1.3433 1.6475 2.0624
Sc -2.3678 0.1823 5.7343
Sc 0.8456 -1.2875 4.6894
Sc -1.8701 3.1173 3.1074
Sc -2.4812 -3.3638 4.7394
Sc 1.4566 5.1935 3.0574
Sc -2.0104 -0.4771 2.1268
Sc 0.9859 2.3069 5.6700
Ge -3.8801 -1.1869 3.9491
Ge -0.5123 0.9149 3.8984
Ge -0.0357 3.8372 1.2535
Te 0.0000 0.0000 0.0000
Te 3.3678 2.1018 -0.0507
Te 2.8913 -0.8205 2.5942
As -3.4035 1.7354 1.3042

=====

(3)
8
Lattice="4.0020 0.0000 0.0000 0.0000 6.9373 0.1243 0.0000 -2.4222 6.6434" Properties=species:S:1:pos:R:3 comment="Sc4GeTe2As | the Alexandria database | PBE | optimized geometry" formation_energy_uncorrected_ev_per_atom=-1.184 pbc="T T T"
Sc 2.0010 1.1498 1.4655
Sc 2.0010 3.3653 5.3022
Sc 0.0000 -0.0700 5.2307
Sc 0.0000 4.5851 1.5369
Ge 2.0010 3.4686 0.0621
Te 2.0010 -1.2111 3.3217
Te 0.0000 2.2576 3.3838
As 0.0000 0.0000 0.0000

=====

(4)
12
Lattice="3.9971 0.0000 0.0000 0.0000 8.1329 0.1958 -1.9986 -2.4405 8.4966" Properties=species:S:1:pos:R:3 comment="Sc6GeTe3As2 | the Alexandria database | PBE | optimized geometry" formation_energy_uncorrected_ev_per_atom=-1.226 pbc="T T T"
Sc 0.0000 5.6420 5.9894
Sc 1.9985 3.7390 3.0741
Sc 1.9986 0.0504 2.7030
Sc 0.0000 1.8376 0.1550
Sc 1.9986 3.8549 8.5373
Sc 0.0000 1.9535 5.6182
Ge 1.9986 0.0000 0.0000
Te 1.9986 4.0665 0.0979
Te 1.9986 -0.2646 5.6811
Te 0.0000 5.9570 3.0112
As 1.9986 3.7913 5.7941
As 0.0000 1.9012 2.8983

=====

(5)
5
Lattice="-3.8634 -1.7324 2.6589 2.9097 -3.3576 2.0401 1.1032 3.1946 3.6843" Properties=species:S:1:pos:R:3 comment="Sc2VGeAs | the Alexandria database | PBE | optimized geometry" formation_energy_ev_per_atom=0.753 pbc="T T T"
Sc 0.5516 1.5973 1.8422
Sc -1.9317 -0.8662 1.3295
As 1.4548 -1.6788 1.0201
Ge 0.0000 0.0000 0.0000
V 0.0747 -0.9477 4.1917

=====

(6)
5
Lattice="4.9993 0.0000 0.0000 0.0000 5.0083 0.0000 0.0000 0.0000 4.9993" Properties=species:S:1:pos:R:3 comment="ScVGeAs2 | the Alexandria database | PBE | optimized geometry" formation_energy_ev_per_atom=0.861 pbc="T T T"
Sc 0.0000 0.0000 0.0000
As 0.0000 0.0000 2.4996
As 2.4996 0.0000 0.0000
Ge 0.0000 2.5041 0.0000
V 2.4996 2.5041 2.4996

=====

no.,D(E_F) (states/eV per cell),calculated volume (Å³ per cell)
1,3.56,373.15
2,8.49,362.89
3,2.27,185.65
4,4.97,278.12
5,8.64,122.21
6,10.16,125.17